# 1
A plane-wave DFT calculation with GGA-PBE was carried out for crystalline ScAl2Te at its relaxed geometry.

Unit cell a=4.966 b=4.966 c=4.966 alpha=60.00 beta=60.00 gamma=60.00
Positions (direct):
Sc: 0.500 0.500 0.500
Te: 0.750 0.750 0.750
Al: 0.000 0.000 0.000
Al: 0.250 0.250 0.250

## Properties
electronic total energy = -4.3043 eV per atom
calculated density = 4.3 g/cm³

---

# 2
A plane-wave DFT calculation with GGA-PBE was carried out for crystalline ScAlTe at its relaxed geometry.

Unit cell a=4.791 b=4.791 c=3.520 alpha=90.00 beta=90.00 gamma=120.00
Positions (direct):
Sc: 0.667 0.333 0.334
Te: 0.333 0.667 0.833
Al: 0.000 0.000 0.833

## Properties
electronic total energy = -4.5726 eV per atom
calculated density = 4.7 g/cm³

---

What is the electronic total energy in the second record?
-4.5726 eV per atom

---

The highest calculated density belongs to which entry?
ScAlTe

---

Among the records above, which one has the lowest calculated density?
ScAl2Te

---

Among the records above, which one has the lowest calculated density?
ScAl2Te